Entry from Alexandria via LeMat-Bulk: an optimized crystal structure of Ti6Nb2Mo (GGA-PBE).

Cell lengths 2.774, 7.232, 8.228 Å; angles 76.35, 80.29, 78.94 degrees
Fractional coordinates of all 9 atoms:
Ti (0.770, 0.349, 0.111)
Ti (0.230, 0.651, 0.889)
Ti (0.389, 0.668, 0.554)
Ti (0.051, 0.666, 0.231)
Ti (0.949, 0.334, 0.769)
Ti (0.611, 0.332, 0.446)
Nb (0.333, 0.007, 0.326)
Nb (0.667, 0.993, 0.674)
Mo (0.000, 0.000, 0.000)

- Energy relative to the elements: 1.0 eV/f.u.
- Excess energy over the best structure of this formula in the dataset: 0.96 eV/f.u.